PrTlCl4 | Alexandria via LeMat-Bulk | GGA-PBE | optimized geometry; uncorrected formation energy = -1.874 eV/atom; E_tot = -25.8 eV/f.u.; symmetry = Pnma; ΔE to the lowest computed polymorph = 0.0 meV per atom; D(E_F) = 0.000 states/eV per atom
1.0
7.680 0.000 0.000
0.000 4.362 0.000
0.000 0.000 19.817
Pr Tl Cl
4 4 16
direct
0.248 0.250 0.059
0.252 0.750 0.559
0.748 0.250 0.441
0.752 0.750 0.941
0.210 0.750 0.292
0.290 0.250 0.792
0.710 0.750 0.208
0.790 0.250 0.708
0.009 0.750 0.438
0.093 0.750 0.693
0.095 0.750 0.134
0.142 0.750 0.964
0.358 0.250 0.464
0.405 0.250 0.634
0.407 0.250 0.193
0.491 0.250 0.938
0.509 0.750 0.062
0.593 0.750 0.807
0.595 0.750 0.366
0.642 0.750 0.536
0.858 0.250 0.036
0.905 0.250 0.866
0.907 0.250 0.307
0.991 0.250 0.562